VASP calculation (PBE) on a relaxed CaDy2ScHg4 crystal.

POSCAR file:
```
CaDy2ScHg4
1.0
2.600 1.501 8.499
-2.600 1.501 8.499
0.000 -3.003 8.499
Ca Dy Sc Hg
1 2 1 4
direct
0.000 0.000 0.000
0.250 0.250 0.250
0.750 0.750 0.750
0.500 0.500 0.500
0.127 0.127 0.127
0.379 0.379 0.379
0.621 0.621 0.621
0.873 0.873 0.873
```

Properties
Total energy = -22.65 eV per cell
SG = R-3m (166)
Energy relative to the elements = -11.26 kcal/mol of atoms
Theoretical density = 10.1 g/cm3
N(E_F) = 0.50 states/eV per atom